1.
A geometry-optimized MgSn structure. Source: the Alexandria database, functional PBE.

Summary:
Energy of formation   0.99 eV/f.u.

abc: 8.099 8.099 8.099
angles: 90.00 90.00 90.00
Space group Pm-3n (No. 223)
Asymmetric unit:
1 Mg 0.000 0.250 0.500
2 Sn 0.000 0.500 0.250

2.
A geometry-optimized MgSn structure. Source: the Alexandria database, functional PBE.

Summary:
Energy of formation   -0.19 eV/f.u.

abc: 5.019 3.269 17.886
angles: 90.00 90.00 90.00
Space group Amm2 (No. 38)
Asymmetric unit:
1 Mg 0.000 0.000 0.000
2 Mg 0.000 0.000 0.337
3 Mg 0.500 0.000 0.117
4 Sn 0.000 0.000 0.655
5 Sn 0.500 0.000 0.459
6 Sn 0.500 0.000 0.782

3.
A geometry-optimized MgSn2 structure. Source: the Alexandria database, functional PBE.

Summary:
Energy of formation   -0.07 eV/f.u.

abc: 5.344 3.283 17.582
angles: 90.00 90.00 90.00
Space group Amm2 (No. 38)
Asymmetric unit:
1 Mg 0.000 0.000 0.000
2 Mg 0.000 0.000 0.331
3 Sn 0.000 0.000 0.666
4 Sn 0.500 0.000 0.111
5 Sn 0.500 0.000 0.447
6 Sn 0.500 0.000 0.785

4.
A geometry-optimized Mg6Sn structure. Source: the Alexandria database, functional PBE.

Summary:
Energy of formation   5.55 eV/f.u.

abc: 7.952 7.952 7.952
angles: 90.00 90.00 90.00
Space group Im-3m (No. 229)
Asymmetric unit:
1 Mg 0.000 0.250 0.500
2 Sn 0.000 0.000 0.000

5.
A geometry-optimized MgSn structure. Source: the Alexandria database, functional PBE.

Summary:
Energy of formation   -0.05 eV/f.u.

abc: 3.3630 3.3630 15.2783
angles: 90.00 90.00 120.00
Space group P3m1 (No. 156)
Asymmetric unit:
1 Mg 0.0000 0.0000 0.0000
2 Mg 0.0000 0.0000 0.3205
3 Mg 0.3333 0.6667 0.4843
4 Sn 0.0000 0.0000 0.6502
5 Sn 0.3333 0.6667 0.1599
6 Sn 0.3333 0.6667 0.8343

6.
A geometry-optimized MgSn2 structure. Source: the Alexandria database, functional PBE.

Summary:
Energy of formation   -0.06 eV/f.u.

abc: 3.3656 3.3656 15.7004
angles: 90.00 90.00 120.00
Space group P6_3/mmc (No. 194)
Asymmetric unit:
1 Mg 0.3333 0.6667 0.2500
2 Sn 0.3333 0.6667 0.5897

7.
A geometry-optimized Mg5Sn structure. Source: the Alexandria database, functional PBE.

Summary:
Energy of formation   -0.16 eV/f.u.
Excess energy over the best structure of this formula in the dataset   52 meV/atom

abc: 5.195 15.582 3.454
angles: 90.00 90.00 90.00
Space group Cmmm (No. 65)
Asymmetric unit:
1 Mg 0.000 0.000 0.000
2 Mg 0.000 0.171 0.500
3 Mg 0.000 0.336 0.000
4 Sn 0.000 0.500 0.500

8.
A geometry-optimized MgSn structure. Source: the Alexandria database, functional PBE.

Summary:
Energy of formation   -0.22 eV/f.u.

abc: 3.437 16.527 5.177
angles: 90.00 90.00 90.00
Space group Pmmn (No. 59, origin choice 2)
Asymmetric unit:
1 Mg 0.250 0.083 0.105
2 Mg 0.250 0.750 0.672
3 Sn 0.250 0.250 0.831
4 Sn 0.250 0.581 0.393

9.
A geometry-optimized MgSn3 structure. Source: the Alexandria database, functional PBE.

Summary:
Energy of formation   -0.07 eV/f.u.

abc: 4.723 4.723 9.337
angles: 90.00 90.00 90.00
Space group I4/mmm (No. 139)
Asymmetric unit:
1 Mg 0.000 0.000 0.000
2 Sn 0.000 0.000 0.500
3 Sn 0.000 0.500 0.250

10.
A geometry-optimized Mg7Sn structure. Source: the Alexandria database, functional PBE.

Summary:
Energy of formation   -0.50 eV/f.u.
Excess energy over the best structure of this formula in the dataset   0 meV/atom

abc: 4.489 4.489 18.177
angles: 90.00 90.00 90.00
Space group I4/mmm (No. 139)
Asymmetric unit:
1 Mg 0.000 0.000 0.000
2 Mg 0.000 0.000 0.248
3 Mg 0.000 0.500 0.124
4 Sn 0.000 0.000 0.500

11.
A geometry-optimized MgSn structure. Source: the Alexandria database, functional PBE.

Summary:
Energy of formation   -0.15 eV/f.u.

abc: 3.504 5.630 4.988
angles: 90.00 90.00 90.00
Space group Pmmn (No. 59, origin choice 2)
Asymmetric unit:
1 Mg 0.250 0.250 0.104
2 Sn 0.250 0.750 0.395

12.
A geometry-optimized Mg4Sn structure. Source: the Alexandria database, functional PBE.

Summary:
Energy of formation   -0.20 eV/f.u.
Excess energy over the best structure of this formula in the dataset   0 meV/atom

abc: 4.847 6.175 15.444
angles: 90.00 90.00 90.00
Space group Imma (No. 74)
Asymmetric unit:
1 Mg 0.000 0.000 0.000
2 Mg 0.000 0.005 0.196
3 Mg 0.000 0.250 0.398
4 Sn 0.000 0.250 0.612

13.
A geometry-optimized Mg3Sn4 structure. Source: the Alexandria database, functional PBE.

Summary:
Energy of formation   -0.42 eV/f.u.
Excess energy over the best structure of this formula in the dataset   0 meV/atom

abc: 5.0368 5.0368 24.7717
angles: 90.00 90.00 120.00
Space group R-3m (No. 166, hexagonal axes)
Asymmetric unit:
1 Mg 0.0000 0.0000 0.0000
2 Mg 0.0000 0.0000 0.2522
3 Sn 0.0000 0.0000 0.1293
4 Sn 0.0000 0.0000 0.3795

14.
A geometry-optimized MgSn structure. Source: the Alexandria database, functional PBE.

Summary:
Energy of formation   0.18 eV/f.u.

abc: 5.981 5.981 5.981
angles: 90.00 90.00 90.00
Space group Fm-3m (No. 225)
Asymmetric unit:
1 Mg 0.000 0.000 0.000
2 Sn 0.000 0.000 0.500

15.
A geometry-optimized MgSn4 structure. Source: the Alexandria database, functional PBE.

Summary:
Energy of formation   0.06 eV/f.u.
Excess energy over the best structure of this formula in the dataset   0 meV/atom

abc: 7.131 7.131 5.874
angles: 90.00 90.00 90.00
Space group I4/mmm (No. 139)
Asymmetric unit:
1 Mg 0.000 0.000 0.000
2 Sn 0.205 0.205 0.500

16.
A geometry-optimized MgSn3 structure. Source: the Alexandria database, functional PBE.

Summary:
Energy of formation   0.09 eV/f.u.

abc: 7.483 7.483 7.483
angles: 90.00 90.00 90.00
Space group Fm-3m (No. 225)
Asymmetric unit:
1 Mg 0.000 0.000 0.000
2 Sn 0.000 0.000 0.500
3 Sn 0.250 0.250 0.250

17.
A geometry-optimized Mg3Sn2 structure. Source: the Alexandria database, functional PBE.

Summary:
Energy of formation   -0.39 eV/f.u.
Excess energy over the best structure of this formula in the dataset   45 meV/atom

abc: 4.809 8.917 11.843
angles: 90.00 90.00 90.00
Space group Cmcm (No. 63)
Asymmetric unit:
1 Mg 0.000 0.078 0.250
2 Mg 0.000 0.342 0.084
3 Sn 0.000 0.000 0.000
4 Sn 0.000 0.237 0.750

18.
A geometry-optimized MgSn2 structure. Source: the Alexandria database, functional PBE.

Summary:
Energy of formation   -0.09 eV/f.u.

abc: 5.562 5.538 5.631
angles: 90.00 118.39 90.00
Space group C2/m (No. 12)
Asymmetric unit:
1 Mg 0.000 0.000 0.000
2 Sn 0.167 0.500 0.332

19.
A geometry-optimized MgSn structure. Source: the Alexandria database, functional PBE.

Summary:
Energy of formation   -0.05 eV/f.u.

abc: 9.683 9.683 4.471
angles: 90.00 90.00 90.00
Space group I4/m (No. 87)
Asymmetric unit:
1 Mg 0.003 0.671 0.000
2 Sn 0.160 0.169 0.500

20.
A geometry-optimized Mg5Sn3 structure. Source: the Alexandria database, functional PBE.

Summary:
Energy of formation   -1.01 eV/f.u.

abc: 8.523 9.540 4.634
angles: 90.00 90.00 90.00
Space group Cmmm (No. 65)
Asymmetric unit:
1 Mg 0.000 0.000 0.000
2 Mg 0.228 0.500 0.500
3 Mg 0.250 0.250 0.000
4 Sn 0.000 0.217 0.500
5 Sn 0.000 0.500 0.000

21.
A geometry-optimized Mg5Sn structure. Source: the Alexandria database, functional PBE.

Summary:
Energy of formation   -0.37 eV/f.u.
Excess energy over the best structure of this formula in the dataset   17 meV/atom

abc: 5.6257 5.6257 5.0698
angles: 90.00 90.00 120.00
Space group P-62m (No. 189)
Asymmetric unit:
1 Mg 0.0000 0.3352 0.0000
2 Mg 0.3333 0.6667 0.5000
3 Sn 0.0000 0.0000 0.5000

22.
A geometry-optimized MgSn structure. Source: the Alexandria database, functional PBE.

Summary:
Energy of formation   -0.23 eV/f.u.

abc: 11.480 3.345 5.272
angles: 90.00 107.18 90.00
Space group C2/m (No. 12)
Asymmetric unit:
1 Mg 0.127 0.000 0.282
2 Sn 0.117 0.500 0.771

23.
A geometry-optimized Mg15Sn structure. Source: the Alexandria database, functional PBE.

Summary:
Energy of formation   -0.31 eV/f.u.

abc: 6.4311 6.4311 10.2574
angles: 90.00 90.00 120.00
Space group P-6m2 (No. 187)
Asymmetric unit:
1 Mg 0.0000 0.0000 0.0000
2 Mg 0.0005 0.5003 0.0000
3 Mg 0.1677 0.3353 0.2528
4 Mg 0.5015 0.0030 0.5000
5 Mg 0.6667 0.3333 0.2519
6 Sn 0.0000 0.0000 0.5000

24.
A geometry-optimized MgSn3 structure. Source: the Alexandria database, functional PBE.

Summary:
Energy of formation   -0.02 eV/f.u.

abc: 3.4096 3.4096 10.3743
angles: 90.00 90.00 120.00
Space group P-6m2 (No. 187)
Asymmetric unit:
1 Mg 0.0000 0.0000 0.0000
2 Sn 0.0000 0.0000 0.5000
3 Sn 0.6667 0.3333 0.2329

25.
A geometry-optimized Mg5Sn2 structure. Source: the Alexandria database, functional PBE.

Summary:
Energy of formation   -0.87 eV/f.u.
Excess energy over the best structure of this formula in the dataset   0 meV/atom

abc: 4.434 34.488 4.418
angles: 90.00 90.00 90.00
Space group Cmcm (No. 63)
Asymmetric unit:
1 Mg 0.000 0.033 0.250
2 Mg 0.000 0.107 0.750
3 Mg 0.000 0.250 0.250
4 Mg 0.000 0.323 0.750
5 Mg 0.000 0.465 0.250
6 Sn 0.000 0.192 0.750
7 Sn 0.000 0.407 0.750